Entry 1:
# PBE MgCu2Cl, relaxed
# - E_form (uncorrected) (eV/atom) = 0.009
data_MgCu2Cl
_cell_length_a 3.053
_cell_length_b 5.787
_cell_length_c 8.204
_cell_angle_alpha 90.00
_cell_angle_beta 90.00
_cell_angle_gamma 90.00
_symmetry_space_group_name_H-M 'I m m 2'
_symmetry_Int_Tables_number 44
loop_
_symmetry_equiv_pos_as_xyz
'x,y,z'
'-x,-y,z'
'-x,y,z'
'x,-y,z'
'x+1/2,y+1/2,z+1/2'
'-x+1/2,-y+1/2,z+1/2'
'-x+1/2,y+1/2,z+1/2'
'x+1/2,-y+1/2,z+1/2'
loop_
_atom_site_label
_atom_site_fract_x
_atom_site_fract_y
_atom_site_fract_z
_atom_site_occupancy
Mg1 0.000 0.000 0.000 1
Cu1 0.000 0.000 0.489 1
Cu2 0.000 0.500 0.225 1
Cl1 0.000 0.500 0.743 1

Entry 2:
# PBE PuBeI2, relaxed
# - E_form (uncorrected) (eV/atom) = 0.145
data_PuBeI2
_cell_length_a 3.7757
_cell_length_b 3.7757
_cell_length_c 28.6467
_cell_angle_alpha 90.00
_cell_angle_beta 90.00
_cell_angle_gamma 120.00
_symmetry_space_group_name_H-M 'R -3 m'
_symmetry_Int_Tables_number 166
_symmetry_space_group_name_Hall '-R 3 2"'
loop_
_atom_site_label
_atom_site_fract_x
_atom_site_fract_y
_atom_site_fract_z
_atom_site_occupancy
Pu1 0.0000 0.0000 0.0000 1
Be1 0.0000 0.0000 0.5000 1
I1 0.0000 0.0000 0.1129 1

Entry 3:
# PBE NaSr2MgGe, relaxed
# - DFT formation energy (eV/f.u.) = -0.70
data_NaSr2MgGe
_cell_length_a 6.228
_cell_length_b 6.228
_cell_length_c 5.159
_cell_angle_alpha 90.00
_cell_angle_beta 90.00
_cell_angle_gamma 90.00
_symmetry_space_group_name_H-M 'P 4/m m m'
_symmetry_Int_Tables_number 123
_symmetry_space_group_name_Hall '-P 4 2'
loop_
_atom_site_label
_atom_site_fract_x
_atom_site_fract_y
_atom_site_fract_z
_atom_site_occupancy
Na1 0.000 0.000 0.000 1
Sr1 0.000 0.500 0.500 1
Mg1 0.500 0.500 0.000 1
Ge1 0.500 0.500 0.500 1

Copy entry 1 word for word.
# PBE MgCu2Cl, relaxed
# - E_form (uncorrected) (eV/atom) = 0.009
data_MgCu2Cl
_cell_length_a 3.053
_cell_length_b 5.787
_cell_length_c 8.204
_cell_angle_alpha 90.00
_cell_angle_beta 90.00
_cell_angle_gamma 90.00
_symmetry_space_group_name_H-M 'I m m 2'
_symmetry_Int_Tables_number 44
loop_
_symmetry_equiv_pos_as_xyz
'x,y,z'
'-x,-y,z'
'-x,y,z'
'x,-y,z'
'x+1/2,y+1/2,z+1/2'
'-x+1/2,-y+1/2,z+1/2'
'-x+1/2,y+1/2,z+1/2'
'x+1/2,-y+1/2,z+1/2'
loop_
_atom_site_label
_atom_site_fract_x
_atom_site_fract_y
_atom_site_fract_z
_atom_site_occupancy
Mg1 0.000 0.000 0.000 1
Cu1 0.000 0.000 0.489 1
Cu2 0.000 0.500 0.225 1
Cl1 0.000 0.500 0.743 1

What did the second record say?
# PBE PuBeI2, relaxed
# - E_form (uncorrected) (eV/atom) = 0.145
data_PuBeI2
_cell_length_a 3.7757
_cell_length_b 3.7757
_cell_length_c 28.6467
_cell_angle_alpha 90.00
_cell_angle_beta 90.00
_cell_angle_gamma 120.00
_symmetry_space_group_name_H-M 'R -3 m'
_symmetry_Int_Tables_number 166
_symmetry_space_group_name_Hall '-R 3 2"'
loop_
_atom_site_label
_atom_site_fract_x
_atom_site_fract_y
_atom_site_fract_z
_atom_site_occupancy
Pu1 0.0000 0.0000 0.0000 1
Be1 0.0000 0.0000 0.5000 1
I1 0.0000 0.0000 0.1129 1